Record 1
# NiSbMo2, optimized geometry, DFT PBEsol
data_NiSbMo2
_space_group_name_H-M_alt 'C 1 2/m 1'
_space_group_IT_number 12
_space_group_name_Hall '-C 2y'
_cell_length_a 9.226
_cell_length_b 3.216
_cell_length_c 4.286
_cell_angle_alpha 90.00
_cell_angle_beta 105.25
_cell_angle_gamma 90.00
loop_
_atom_site_label
_atom_site_type_symbol
_atom_site_fract_x
_atom_site_fract_y
_atom_site_fract_z
Ni1 Ni 0.000 0.000 0.000
Sb1 Sb 0.000 0.500 0.500
Mo1 Mo 0.246 0.500 0.229
# E_form (uncorrected) ... 0.16 eV per atom
# DOS at the Fermi energy ... 5.7 states/eV per cell



Record 2
# Ni2SbMo, optimized geometry, DFT PBEsol
data_Ni2SbMo
_space_group_name_H-M_alt 'R 3 m'
_space_group_IT_number 160
_space_group_name_Hall 'R 3 -2"'
_cell_length_a 2.9709
_cell_length_b 2.9709
_cell_length_c 23.3134
_cell_angle_alpha 90.00
_cell_angle_beta 90.00
_cell_angle_gamma 120.00
loop_
_atom_site_label
_atom_site_type_symbol
_atom_site_fract_x
_atom_site_fract_y
_atom_site_fract_z
Ni1 Ni 0.0000 0.0000 0.0000
Ni2 Ni 0.0000 0.0000 0.2569
Sb1 Sb 0.0000 0.0000 0.5093
Mo1 Mo 0.0000 0.0000 0.7440
# E_form (uncorrected) ... 0.42 eV per atom
# DOS at the Fermi energy ... 13.2 states/eV per cell



Record 3
# Ni6SbMo, optimized geometry, DFT PBEsol
data_Ni6SbMo
_space_group_name_H-M_alt 'C m m m'
_space_group_IT_number 65
_space_group_name_Hall '-C 2 2'
_cell_length_a 7.263
_cell_length_b 10.256
_cell_length_c 10.293
_cell_angle_alpha 90.00
_cell_angle_beta 90.00
_cell_angle_gamma 90.00
loop_
_atom_site_label
_atom_site_type_symbol
_atom_site_fract_x
_atom_site_fract_y
_atom_site_fract_z
Ni1 Ni 0.000 0.000 0.000
Ni2 Ni 0.000 0.000 0.500
Ni3 Ni 0.000 0.246 0.240
Ni4 Ni 0.000 0.500 0.000
Ni5 Ni 0.000 0.500 0.500
Ni6 Ni 0.242 0.124 0.369
Ni7 Ni 0.244 0.127 0.120
Sb1 Sb 0.000 0.251 0.500
Sb2 Sb 0.000 0.500 0.248
Mo1 Mo 0.000 0.000 0.252
Mo2 Mo 0.000 0.246 0.000
# E_form (uncorrected) ... -0.08 eV per atom
# DOS at the Fermi energy ... 72.4 states/eV per cell



Record 4
# Sc2NiMo, optimized geometry, DFT PBEsol
data_Sc2NiMo
_space_group_name_H-M_alt 'I -4 m 2'
_space_group_IT_number 119
_space_group_name_Hall 'I -4 -2'
_cell_length_a 3.829
_cell_length_b 3.829
_cell_length_c 9.006
_cell_angle_alpha 90.00
_cell_angle_beta 90.00
_cell_angle_gamma 90.00
loop_
_atom_site_label
_atom_site_type_symbol
_atom_site_fract_x
_atom_site_fract_y
_atom_site_fract_z
Sc1 Sc 0.000 0.000 0.000
Sc2 Sc 0.000 0.500 0.250
Ni1 Ni 0.000 0.500 0.750
Mo1 Mo 0.000 0.000 0.500
# DOS at the Fermi energy ... 9.1 states/eV per cell
# Calculated formation energy ... 0.094 eV per atom